<A>
CaMg2W | PBE | relaxed

a b c (Å): 2.9034 4.7372 6.2754
angles (deg): 90.00 90.00 90.00
Fractional positions:
Mg (0.5000, 0.5000, 0.2681)
Mg (0.0000, 0.0000, 0.0140)
Ca (0.5000, 0.5000, 0.7341)
W (0.0000, 0.0000, 0.4837)

Results
- Total magnetic moment: 0.0 μB per cell
- Symmetry: No. 25

=====

<B>
CaMg2W | PBE | relaxed

a b c (Å): 2.9168 2.9168 10.0460
angles (deg): 90.00 90.00 90.42
Fractional positions:
Mg (0.0000, 0.0000, 0.4661)
Mg (0.0000, 0.0000, 0.0339)
Ca (0.5000, 0.5000, 0.7500)
W (0.5000, 0.5000, 0.2500)

Results
- Total magnetic moment: 0.0 μB per cell
- Symmetry: No. 65

=====

<C>
CaMg2W | PBE | relaxed

a b c (Å): 5.4442 5.4442 2.9725
angles (deg): 89.90 89.90 108.44
Fractional positions:
Mg (0.5000, 0.5000, 0.0000)
Mg (0.0000, 0.0000, 0.0000)
Ca (0.0000, 0.5000, 0.5000)
W (0.5000, 0.0000, 0.5000)

Results
- Total magnetic moment: 0.0 μB per cell
- Symmetry: No. 12

=====

<D>
CaMg2W | PBE | relaxed

a b c (Å): 4.0776 4.5956 4.5956
angles (deg): 90.00 90.00 90.00
Fractional positions:
Mg (0.0000, 0.5000, 0.5000)
Mg (0.0000, 0.0000, 0.0000)
W (0.5000, 0.5000, 0.0000)
Ca (0.5000, 0.0000, 0.5000)

Results
- Total magnetic moment: 0.0 μB per cell
- Symmetry: No. 123

=====

Most stable to least stable: <B>, <C>, <A>, <D>

=====

<A>
CaMg2W | PBE | relaxed

a b c (Å): 2.9225 2.9225 10.1174
angles (deg): 90.00 90.00 96.77
Fractional positions:
Ca (0.5000, 0.5000, 0.7303)
W (0.0000, 0.0000, 0.4845)
Mg (0.0000, 0.0000, 0.0153)
Mg (0.5000, 0.5000, 0.2699)

Results
- Total magnetic moment: 0.0 μB per cell
- Symmetry: No. 35

=====

<B>
CaMg2W | PBE | relaxed

a b c (Å): 4.9781 4.9781 4.9781
angles (deg): 60.00 60.00 60.00
Fractional positions:
Mg (0.2500, 0.2500, 0.2500)
Mg (0.7500, 0.7500, 0.7500)
W (0.5000, 0.5000, 0.5000)
Ca (0.0000, 0.0000, 0.0000)

Results
- Total magnetic moment: 1.7 μB per cell
- Symmetry: No. 225

=====

Most stable to least stable: <A>, <B>

=====

<A>
CaMg2W | PBE | relaxed

a b c (Å): 5.0412 5.0412 5.0412
angles (deg): 60.00 60.00 60.00
Fractional positions:
Ca (0.5000, 0.5000, 0.5000)
Mg (0.7500, 0.7500, 0.7500)
Mg (0.0000, 0.0000, 0.0000)
W (0.2500, 0.2500, 0.2500)

Results
- Total magnetic moment: 2.5 μB per cell
- Symmetry: No. 216

=====

<B>
CaMg2W | PBE | relaxed

a b c (Å): 6.3341 6.3341 6.3341
angles (deg): 152.24 129.61 58.50
Fractional positions:
Mg (0.9700, 0.9700, 0.0000)
Mg (0.5300, 0.5300, 0.0000)
Ca (0.2500, 0.7500, 0.5000)
W (0.7500, 0.2500, 0.5000)

Results
- Total magnetic moment: 0.0 μB per cell
- Symmetry: No. 71

=====

Most stable to least stable: <B>, <A>